[1]
A relaxed structure of AcLa5Ir4, computed with GGA-PBE.

Calculated values
Calculated formation energy ... -503 kJ/mol of formula units

Cell: 8.792 8.792 7.257 Å, 113.05 113.05 33.39°
Sites, in units of the cell vectors:
1 Ac 0.000 0.000 0.000
2 La 0.000 0.000 0.500
3 La 0.336 0.336 0.334
4 La 0.338 0.338 0.816
5 La 0.662 0.662 0.184
6 La 0.664 0.664 0.666
7 Ir 0.173 0.173 0.428
8 Ir 0.493 0.493 0.257
9 Ir 0.507 0.507 0.743
10 Ir 0.827 0.827 0.572

=====

[2]
A relaxed structure of Ac2La3Ir3, computed with GGA-PBE.

Calculated values
Calculated formation energy ... -451 kJ/mol of formula units

Cell: 7.403 7.403 14.164 Å, 91.36 91.36 46.86°
Sites, in units of the cell vectors:
1 Ac 0.000 0.000 0.000
2 Ac 0.013 0.013 0.362
3 Ac 0.336 0.336 0.860
4 Ac 0.633 0.633 0.556
5 La 0.357 0.357 0.494
6 La 0.422 0.422 0.182
7 La 0.612 0.612 0.818
8 La 0.725 0.725 0.049
9 La 0.731 0.731 0.314
10 La 0.925 0.925 0.682
11 Ir 0.460 0.460 0.680
12 Ir 0.524 0.524 0.996
13 Ir 0.533 0.533 0.369
14 Ir 0.812 0.812 0.867
15 Ir 0.834 0.834 0.491
16 Ir 0.882 0.882 0.181

=====

[3]
A relaxed structure of AcLa2Ir, computed with GGA-PBE.

Calculated values
Calculated formation energy ... -106 kJ/mol of formula units
Distance to the lowest polymorph of the same formula ... 201 meV/atom

Cell: 11.290 11.290 11.290 Å, 20.83 20.83 20.83°
Sites, in units of the cell vectors:
1 Ac 0.000 0.000 0.000
2 La 0.118 0.118 0.118
3 La 0.882 0.882 0.882
4 Ir 0.500 0.500 0.500

=====

[4]
A relaxed structure of Ac4La3Ir2, computed with GGA-PBE.

Calculated values
Calculated formation energy ... -320 kJ/mol of formula units

Cell: 9.176 9.176 9.862 Å, 113.89 113.89 25.38°
Sites, in units of the cell vectors:
1 Ac 0.135 0.135 0.394
2 Ac 0.273 0.273 0.854
3 Ac 0.727 0.727 0.146
4 Ac 0.865 0.865 0.606
5 La 0.432 0.432 0.303
6 La 0.500 0.500 0.000
7 La 0.568 0.568 0.697
8 Ir 0.115 0.115 0.926
9 Ir 0.885 0.885 0.074

=====

[5]
A relaxed structure of Ac2LaIr, computed with GGA-PBE.

Calculated values
Calculated formation energy ... -167 kJ/mol of formula units
Distance to the lowest polymorph of the same formula ... 6 meV/atom

Cell: 7.226 7.226 7.226 Å, 144.67 133.37 59.83°
Sites, in units of the cell vectors:
1 Ac 0.161 0.161 0.000
2 Ac 0.839 0.839 0.000
3 La 0.500 0.500 0.000
4 Ir 0.000 0.500 0.500

=====

[6]
A relaxed structure of LiAcLaIr, computed with GGA-PBE.

Calculated values
Calculated formation energy ... -122 kJ/mol of formula units

Cell: 5.269 5.269 5.269 Å, 60.00 60.00 60.00°
Sites, in units of the cell vectors:
1 Li 0.000 0.000 0.000
2 Ac 0.750 0.750 0.750
3 La 0.250 0.250 0.250
4 Ir 0.500 0.500 0.500

=====

[7]
A relaxed structure of AcLaMgIr, computed with GGA-PBE.

Calculated values
Calculated formation energy ... -94 kJ/mol of formula units

Cell: 5.368 5.368 5.368 Å, 60.00 60.00 60.00°
Sites, in units of the cell vectors:
1 Ac 0.000 0.000 0.000
2 La 0.500 0.500 0.500
3 Mg 0.750 0.750 0.750
4 Ir 0.250 0.250 0.250

=====

[8]
A relaxed structure of AcLaNdIr, computed with GGA-PBE.

Calculated values
Calculated formation energy ... -104 kJ/mol of formula units

Cell: 4.001 4.001 10.373 Å, 101.04 101.04 60.05°
Sites, in units of the cell vectors:
1 Ac 0.000 0.000 0.000
2 La 0.553 0.553 0.666
3 Nd 0.438 0.438 0.321
4 Ir 0.830 0.830 0.496

=====

[9]
A relaxed structure of AcLaNdIr2, computed with GGA-PBE.

Calculated values
Calculated formation energy ... -300 kJ/mol of formula units

Cell: 7.938 7.938 11.408 Å, 127.76 127.76 32.48°
Sites, in units of the cell vectors:
1 Ac 0.045 0.045 0.223
2 Ac 0.955 0.955 0.777
3 La 0.368 0.368 0.452
4 La 0.632 0.632 0.548
5 Nd 0.258 0.258 0.875
6 Nd 0.742 0.742 0.125
7 Ir 0.272 0.272 0.620
8 Ir 0.399 0.399 0.212
9 Ir 0.601 0.601 0.788
10 Ir 0.728 0.728 0.380

=====

[10]
A relaxed structure of Ac2LaIr3O12, computed with GGA-PBE.

Calculated values
E_form (uncorrected) ... -1.821 eV/atom

Cell: 6.851 6.851 6.851 Å, 63.81 63.81 63.81°
Sites, in units of the cell vectors:
1 Ac 0.115 0.115 0.115
2 Ac 0.885 0.885 0.885
3 La 0.500 0.500 0.500
4 Ir 0.000 0.500 0.500
5 Ir 0.500 0.000 0.500
6 Ir 0.500 0.500 0.000
7 O 0.055 0.647 0.647
8 O 0.226 0.226 0.641
9 O 0.226 0.641 0.226
10 O 0.353 0.353 0.945
11 O 0.353 0.945 0.353
12 O 0.359 0.774 0.774
13 O 0.641 0.226 0.226
14 O 0.647 0.055 0.647
15 O 0.647 0.647 0.055
16 O 0.774 0.359 0.774
17 O 0.774 0.774 0.359
18 O 0.945 0.353 0.353

=====

[11]
A relaxed structure of AcLaIrO6, computed with GGA-PBE.

Calculated values
E_form (uncorrected) ... -2.142 eV/atom

Cell: 5.899 5.899 9.515 Å, 90.00 90.00 120.00°
Sites, in units of the cell vectors:
1 Ac 0.333 0.667 0.250
2 Ac 0.667 0.333 0.750
3 La 0.000 0.000 0.000
4 La 0.000 0.000 0.500
5 Ir 0.333 0.667 0.750
6 Ir 0.667 0.333 0.250
7 O 0.066 0.383 0.634
8 O 0.066 0.683 0.866
9 O 0.317 0.383 0.866
10 O 0.317 0.934 0.634
11 O 0.383 0.066 0.134
12 O 0.383 0.317 0.366
13 O 0.617 0.683 0.634
14 O 0.617 0.934 0.866
15 O 0.683 0.066 0.366
16 O 0.683 0.617 0.134
17 O 0.934 0.317 0.134
18 O 0.934 0.617 0.366

=====

[12]
A relaxed structure of AcLaPIr, computed with GGA-PBE.

Calculated values
Calculated formation energy ... -294 kJ/mol of formula units

Cell: 5.212 5.212 5.212 Å, 60.00 60.00 60.00°
Sites, in units of the cell vectors:
1 Ac 0.000 0.000 0.000
2 La 0.500 0.500 0.500
3 P 0.750 0.750 0.750
4 Ir 0.250 0.250 0.250